--- A ---
# SrMgZn2Ni GGA-PBE relaxed
# - N(E_F): 0.6085 states/eV per atom
data_SrMgZn2Ni
_space_group_name_H-M_alt 'P 1'
_space_group_IT_number 1
_space_group_name_Hall 'P 1'
_cell_length_a 4.7722
_cell_length_b 4.7722
_cell_length_c 4.7881
_cell_angle_alpha 90.00
_cell_angle_beta 90.00
_cell_angle_gamma 90.00
loop_
_atom_site_label
_atom_site_fract_x
_atom_site_fract_y
_atom_site_fract_z
Sr1 0.0000 0.0000 0.0000
Mg1 0.5000 0.5000 0.0000
Zn1 0.0000 0.5000 0.5000
Zn2 0.5000 0.0000 0.5000
Ni1 0.5000 0.5000 0.5000

--- B ---
# SrMgZn2Ni GGA-PBE relaxed
# - N(E_F): 0.5735 states/eV per atom
data_SrMgZn2Ni
_space_group_name_H-M_alt 'P 1'
_space_group_IT_number 1
_space_group_name_Hall 'P 1'
_cell_length_a 4.2777
_cell_length_b 4.2956
_cell_length_c 11.3803
_cell_angle_alpha 90.00
_cell_angle_beta 90.00
_cell_angle_gamma 90.00
loop_
_atom_site_label
_atom_site_fract_x
_atom_site_fract_y
_atom_site_fract_z
Sr1 0.0000 0.0000 0.0000
Sr2 0.5000 0.5000 0.5000
Mg1 0.0000 0.5000 0.7614
Mg2 0.5000 0.0000 0.2614
Zn1 0.0000 0.0000 0.6065
Zn2 0.0000 0.5000 0.2684
Zn3 0.5000 0.0000 0.7684
Zn4 0.5000 0.5000 0.1065
Ni1 0.0000 0.0000 0.3917
Ni2 0.5000 0.5000 0.8917

Most stable structure: B

--- A ---
# Tb2Mg3Ni2 GGA-PBE relaxed
# - N(E_F): 0.4593 states/eV per atom
data_Tb2Mg3Ni2
_space_group_name_H-M_alt 'P 1'
_space_group_IT_number 1
_space_group_name_Hall 'P 1'
_cell_length_a 3.8867
_cell_length_b 21.4148
_cell_length_c 3.6761
_cell_angle_alpha 90.00
_cell_angle_beta 90.00
_cell_angle_gamma 90.00
loop_
_atom_site_label
_atom_site_fract_x
_atom_site_fract_y
_atom_site_fract_z
Tb1 0.0000 0.1773 0.0000
Tb2 0.0000 0.8227 0.0000
Tb3 0.5000 0.3227 0.0000
Tb4 0.5000 0.6773 0.0000
Mg1 0.0000 0.0000 0.0000
Mg2 0.0000 0.4195 0.5000
Mg3 0.0000 0.5805 0.5000
Mg4 0.5000 0.0805 0.5000
Mg5 0.5000 0.5000 0.0000
Mg6 0.5000 0.9195 0.5000
Ni1 0.0000 0.2872 0.5000
Ni2 0.0000 0.7128 0.5000
Ni3 0.5000 0.2128 0.5000
Ni4 0.5000 0.7872 0.5000

--- B ---
# Tb2Mg3Ni2 GGA-PBE relaxed
# - N(E_F): 0.6550 states/eV per atom
data_Tb2Mg3Ni2
_space_group_name_H-M_alt 'P 1'
_space_group_IT_number 1
_space_group_name_Hall 'P 1'
_cell_length_a 10.2275
_cell_length_b 3.8896
_cell_length_c 7.4796
_cell_angle_alpha 90.00
_cell_angle_beta 96.94
_cell_angle_gamma 90.00
loop_
_atom_site_label
_atom_site_fract_x
_atom_site_fract_y
_atom_site_fract_z
Tb1 0.1244 0.0000 0.3650
Tb2 0.3756 0.5000 0.6350
Tb3 0.6244 0.5000 0.3650
Tb4 0.8756 0.0000 0.6350
Mg1 0.0000 0.5000 0.0000
Mg2 0.1847 0.0000 0.8543
Mg3 0.3153 0.5000 0.1457
Mg4 0.5000 0.0000 0.0000
Mg5 0.6847 0.5000 0.8543
Mg6 0.8153 0.0000 0.1457
Ni1 0.0822 0.5000 0.6369
Ni2 0.4178 0.0000 0.3631
Ni3 0.5822 0.0000 0.6369
Ni4 0.9178 0.5000 0.3631

Most stable structure: A

--- A ---
# Tb4MgNi GGA-PBE relaxed
# - N(E_F): 1.0776 states/eV per atom
data_Tb4MgNi
_space_group_name_H-M_alt 'P 1'
_space_group_IT_number 1
_space_group_name_Hall 'P 1'
_cell_length_a 8.7439
_cell_length_b 6.7161
_cell_length_c 6.0048
_cell_angle_alpha 90.00
_cell_angle_beta 100.78
_cell_angle_gamma 90.00
loop_
_atom_site_label
_atom_site_fract_x
_atom_site_fract_y
_atom_site_fract_z
Tb1 0.1331 0.1272 0.3913
Tb2 0.1331 0.3728 0.8913
Tb3 0.2920 0.6001 0.4347
Tb4 0.2920 0.8999 0.9347
Tb5 0.7080 0.1001 0.0653
Tb6 0.7080 0.3999 0.5653
Tb7 0.8669 0.6272 0.1087
Tb8 0.8669 0.8728 0.6087
Mg1 0.5000 0.0000 0.5000
Mg2 0.5000 0.5000 0.0000
Ni1 0.0000 0.0000 0.0000
Ni2 0.0000 0.5000 0.5000

--- B ---
# Tb4MgNi GGA-PBE relaxed
# - N(E_F): 1.0745 states/eV per atom
data_Tb4MgNi
_space_group_name_H-M_alt 'P 1'
_space_group_IT_number 1
_space_group_name_Hall 'P 1'
_cell_length_a 9.6604
_cell_length_b 9.6604
_cell_length_c 9.6604
_cell_angle_alpha 60.00
_cell_angle_beta 60.00
_cell_angle_gamma 60.00
loop_
_atom_site_label
_atom_site_fract_x
_atom_site_fract_y
_atom_site_fract_z
Tb1 0.1849 0.1849 0.8151
Tb2 0.1849 0.8151 0.1849
Tb3 0.1849 0.8151 0.8151
Tb4 0.4041 0.4041 0.4041
Tb5 0.4041 0.4041 0.7876
Tb6 0.4041 0.7876 0.4041
Tb7 0.5618 0.5618 0.9382
Tb8 0.5618 0.9382 0.5618
Tb9 0.5618 0.9382 0.9382
Tb10 0.7876 0.4041 0.4041
Tb11 0.8151 0.1849 0.1849
Tb12 0.8151 0.1849 0.8151
Tb13 0.8151 0.8151 0.1849
Tb14 0.9382 0.5618 0.5618
Tb15 0.9382 0.5618 0.9382
Tb16 0.9382 0.9382 0.5618
Mg1 0.1704 0.1704 0.1704
Mg2 0.1704 0.1704 0.4887
Mg3 0.1704 0.4887 0.1704
Mg4 0.4887 0.1704 0.1704
Ni1 0.1760 0.6080 0.6080
Ni2 0.6080 0.1760 0.6080
Ni3 0.6080 0.6080 0.1760
Ni4 0.6080 0.6080 0.6080

Most stable structure: B

--- A ---
# TbTmMgNi GGA-PBE relaxed
# - N(E_F): 0.7200 states/eV per atom
data_TbTmMgNi
_space_group_name_H-M_alt 'P 1'
_space_group_IT_number 1
_space_group_name_Hall 'P 1'
_cell_length_a 7.1037
_cell_length_b 7.1037
_cell_length_c 7.1037
_cell_angle_alpha 90.00
_cell_angle_beta 90.00
_cell_angle_gamma 90.00
loop_
_atom_site_label
_atom_site_fract_x
_atom_site_fract_y
_atom_site_fract_z
Tb1 0.0000 0.0000 0.0000
Tb2 0.0000 0.5000 0.5000
Tb3 0.5000 0.0000 0.5000
Tb4 0.5000 0.5000 0.0000
Tm1 0.0000 0.0000 0.5000
Tm2 0.0000 0.5000 0.0000
Tm3 0.5000 0.0000 0.0000
Tm4 0.5000 0.5000 0.5000
Mg1 0.2500 0.2500 0.7500
Mg2 0.2500 0.7500 0.2500
Mg3 0.7500 0.2500 0.2500
Mg4 0.7500 0.7500 0.7500
Ni1 0.2500 0.2500 0.2500
Ni2 0.2500 0.7500 0.7500
Ni3 0.7500 0.2500 0.7500
Ni4 0.7500 0.7500 0.2500

--- B ---
# TbTmMgNi GGA-PBE relaxed
# - N(E_F): 0.5466 states/eV per atom
data_TbTmMgNi
_space_group_name_H-M_alt 'P 1'
_space_group_IT_number 1
_space_group_name_Hall 'P 1'
_cell_length_a 3.4251
_cell_length_b 3.4251
_cell_length_c 7.8755
_cell_angle_alpha 90.00
_cell_angle_beta 90.00
_cell_angle_gamma 90.00
loop_
_atom_site_label
_atom_site_fract_x
_atom_site_fract_y
_atom_site_fract_z
Tb1 0.0000 0.0000 0.0000
Tm1 0.0000 0.0000 0.5949
Mg1 0.5000 0.5000 0.3020
Ni1 0.5000 0.5000 0.7891

Most stable structure: B